Ac19In4Co6 | PBE | relaxed Values from VASP.

The structure in Quantum ESPRESSO input format:
```
&SYSTEM
  ibrav = 0, nat = 29, ntyp = 3
/
ATOMIC_SPECIES
Ac 227.00 Ac.upf
In 114.82 In.upf
Co 58.93 Co.upf
CELL_PARAMETERS angstrom
-6.3564 6.3564 6.3564
6.3564 -6.3564 6.3564
6.3564 6.3564 -6.3564
ATOMIC_POSITIONS crystal
Ac 0.0000 0.0000 0.0000
Ac 0.0000 0.3548 0.3548
Ac 0.0000 0.6452 0.6452
Ac 0.0118 0.6581 0.2483
Ac 0.2365 0.6462 0.9882
Ac 0.2483 0.0118 0.6581
Ac 0.3419 0.3538 0.5903
Ac 0.3538 0.5903 0.3419
Ac 0.3548 0.0000 0.3548
Ac 0.3548 0.3548 0.0000
Ac 0.4097 0.7635 0.7517
Ac 0.5903 0.3419 0.3538
Ac 0.6452 0.0000 0.6452
Ac 0.6452 0.6452 0.0000
Ac 0.6462 0.9882 0.2365
Ac 0.6581 0.2483 0.0118
Ac 0.7517 0.4097 0.7635
Ac 0.7635 0.7517 0.4097
Ac 0.9882 0.2365 0.6462
In 0.0000 0.0000 0.3221
In 0.0000 0.3221 0.0000
In 0.3221 0.0000 0.0000
In 0.6779 0.6779 0.6779
Co 0.1890 0.5000 0.6890
Co 0.3110 0.8110 0.5000
Co 0.5000 0.3110 0.8110
Co 0.5000 0.6890 0.1890
Co 0.6890 0.1890 0.5000
Co 0.8110 0.5000 0.3110
```

## Properties
- ΔH_f (0 K) (meV per atom) = -103
- N(E_F) (states/eV per cell) = 31.25
- total magnetic moment (μB per formula unit) = 0.0